(1)
A relaxed structure of ScCu5Pd8. Source: Alexandria, functional PBE.

Summary:
Spin magnetization: 0.00 μB per atom
Calculated volume: 214 Å³/cell
Symmetry: I-4 (82)
Formation energy from the elements: -144 meV per atom

Cell: 6.525 6.525 6.525 Å, 110.68 107.08 110.68°
Atoms (fractional coordinates):
Cu  0.294  0.091  0.959
Cu  0.500  0.000  0.500
Cu  0.041  0.335  0.132
Cu  0.797  0.665  0.706
Cu  0.868  0.909  0.203
Pd  0.587  0.924  0.852
Pd  0.661  0.402  0.921
Pd  0.148  0.735  0.072
Pd  0.519  0.598  0.259
Pd  0.337  0.265  0.413
Pd  0.079  0.740  0.481
Pd  0.928  0.076  0.663
Pd  0.741  0.260  0.339
Sc  0.250  0.500  0.750



(2)
A relaxed structure of LaGeP. Source: Alexandria, functional PBE.

Summary:
Spin magnetization: 0.00 μB per atom
Calculated volume: 159 Å³/cell
Symmetry: R-3m (166)
Formation energy from the elements: -886 meV per atom

Cell: 4.996 4.996 7.903 Å, 71.57 71.57 60.00°
Atoms (fractional coordinates):
P  0.276  0.276  0.171
P  0.724  0.724  0.829
La  0.593  0.593  0.221
La  0.407  0.407  0.779
Ge  0.169  0.169  0.494
Ge  0.831  0.831  0.506



(3)
A relaxed structure of CsTl2CdAg. Source: Alexandria, functional PBE.

Summary:
Spin magnetization: 0.00 μB per atom
Calculated volume: 182 Å³/cell
Symmetry: P4/mmm (123)
Formation energy from the elements: 74 meV per atom

Cell: 5.702 5.702 5.601 Å, 90.00 90.00 90.00°
Atoms (fractional coordinates):
Ag  0.000  0.000  0.000
Tl  0.500  0.000  0.000
Tl  0.000  0.500  0.000
Cd  0.000  0.000  0.500
Cs  0.500  0.500  0.500



(4)
A relaxed structure of Be4Cu2Pd3. Source: Alexandria, functional PBE.

Summary:
Spin magnetization: 0.00 μB per atom
Calculated volume: 102 Å³/cell
Symmetry: P-3m1 (164)
Formation energy from the elements: -328 meV per atom

Cell: 3.976 3.973 7.438 Å, 90.03 90.00 59.98°
Atoms (fractional coordinates):
Be  0.667  0.667  0.901
Be  0.000  0.000  0.333
Be  0.333  0.333  0.099
Be  0.000  0.000  0.667
Pd  0.000  0.000  0.000
Pd  0.667  0.666  0.597
Pd  0.333  0.334  0.403
Cu  0.333  0.333  0.789
Cu  0.667  0.667  0.211



(5)
A relaxed structure of BaPuPb2O8. Source: Alexandria, functional PBE.

Summary:
Spin magnetization: 0.13 μB per atom
Calculated volume: 206 Å³/cell
Symmetry: Cmmm (65)
E_form (uncorrected): -1.679 eV per atom

Cell: 5.336 5.336 7.241 Å, 90.00 90.00 89.01°
Last column: magnetic moment on the atom in μB.
Atoms (fractional coordinates):
O  0.182  0.817  0.809  -0.07
O  0.818  0.183  0.809  -0.07
O  0.701  0.701  0.000  -0.02
O  0.818  0.183  0.191  -0.07
O  0.299  0.299  0.000  -0.02
O  0.330  0.331  0.500  0.08
O  0.182  0.817  0.191  -0.07
O  0.670  0.669  0.500  0.08
Pu  0.000  0.000  0.000  1.62
Pb  0.500  0.500  0.756  0.02
Pb  0.500  0.500  0.244  0.02
Ba  0.000  0.000  0.500  0.01



(6)
A relaxed structure of BeAs3Cl. Source: Alexandria, functional PBE.

Summary:
Excess energy over the best structure of this formula in the dataset: 0 meV/atom
Spin magnetization: 0.00 μB per atom
Calculated volume: 96 Å³/cell
Symmetry: Pm-3m (221)
E_form (uncorrected): 0.525 eV per atom

Cell: 4.572 4.572 4.572 Å, 90.00 90.00 90.00°
Atoms (fractional coordinates):
As  0.500  0.000  0.000
As  0.000  0.000  0.500
As  0.000  0.500  0.000
Be  0.000  0.000  0.000
Cl  0.500  0.500  0.500